# FeSb3F

A relaxed structure of FeSb3F (PBE+U, the Alexandria database).

a = 5.0330 Å, b = 5.0330 Å, c = 5.0330 Å
α = 90.00°, β = 90.00°, γ = 90.00°
Closest atoms and distances in Å follow each position.
Sites, in units of the cell vectors:
Sb 0.0000 0.5000 0.0000  2 Fe 2.52
Sb 0.0000 0.0000 0.5000  2 Fe 2.52
Sb 0.5000 0.0000 0.0000  2 Fe 2.52
Fe 0.0000 0.0000 0.0000  6 Sb 2.52
F 0.5000 0.5000 0.5000  12 Sb 3.56

Output
- Energy: -0.2708 Ry per atom
- V: 127 Å³/cell